# 1
First-principles (GGA-PBE) data for a geometry-optimized PrHo2TmBi4 structure, as listed in Alexandria.

Results
Uncorrected energy (eV per cell): -40.68
Crystal system: monoclinic
Energy relative to the elements (eV/atom): -0.844

The structure in CIF format:
```
data_PrHo2TmBi4
_cell_length_a 7.794
_cell_length_b 4.506
_cell_length_c 7.797
_cell_angle_alpha 90.00
_cell_angle_beta 109.50
_cell_angle_gamma 90.00
_symmetry_space_group_name_H-M 'P 1 2/m 1'
_symmetry_Int_Tables_number 10
loop_
_symmetry_equiv_pos_as_xyz
'x,y,z'
'-x,-y,-z'
'-x,y,-z'
'x,-y,z'
loop_
_atom_site_label
_atom_site_fract_x
_atom_site_fract_y
_atom_site_fract_z
Pr1 0.000 0.000 0.000
Ho1 0.000 0.500 0.500
Ho2 0.500 0.000 0.500
Tm1 0.500 0.500 0.000
Bi1 0.255 0.000 0.747
Bi2 0.259 0.500 0.257
```

***

# 2
First-principles (GGA-PBE) data for a geometry-optimized PrHoTm2Bi4 structure, as listed in Alexandria.

Results
Uncorrected energy (eV per cell): -40.48
Crystal system: monoclinic
Energy relative to the elements (eV/atom): -0.832

The structure in CIF format:
```
data_PrHoTm2Bi4
_cell_length_a 7.779
_cell_length_b 4.500
_cell_length_c 7.785
_cell_angle_alpha 90.00
_cell_angle_beta 109.50
_cell_angle_gamma 90.00
_symmetry_space_group_name_H-M 'P 1 2/m 1'
_symmetry_Int_Tables_number 10
loop_
_symmetry_equiv_pos_as_xyz
'x,y,z'
'-x,-y,-z'
'-x,y,-z'
'x,-y,z'
loop_
_atom_site_label
_atom_site_fract_x
_atom_site_fract_y
_atom_site_fract_z
Pr1 0.000 0.000 0.000
Ho1 0.000 0.500 0.500
Tm1 0.500 0.000 0.500
Tm2 0.500 0.500 0.000
Bi1 0.256 0.000 0.747
Bi2 0.260 0.500 0.259
```

***

# 3
First-principles (GGA-PBE) data for a geometry-optimized Pr2HoTmBi5 structure, as listed in Alexandria.

Results
Uncorrected energy (eV per cell): -39.24
Crystal system: tetragonal
Energy relative to the elements (eV/atom): -0.136

The structure in CIF format:
```
data_Pr2HoTmBi5
_cell_length_a 5.434
_cell_length_b 5.434
_cell_length_c 11.871
_cell_angle_alpha 90.00
_cell_angle_beta 90.00
_cell_angle_gamma 90.00
_symmetry_space_group_name_H-M 'P 4/m m m'
_symmetry_Int_Tables_number 123
_symmetry_space_group_name_Hall '-P 4 2'
loop_
_atom_site_label
_atom_site_fract_x
_atom_site_fract_y
_atom_site_fract_z
Pr1 0.000 0.000 0.223
Ho1 0.500 0.500 0.000
Tm1 0.500 0.500 0.500
Bi1 0.000 0.000 0.500
Bi2 0.000 0.500 0.000
Bi3 0.500 0.500 0.255
```

***

# 4
First-principles (GGA-PBE) data for a geometry-optimized Pr2YHoBi5 structure, as listed in Alexandria.

Results
Uncorrected energy (eV per cell): -41.50
Crystal system: tetragonal
Energy relative to the elements (eV/atom): -0.166

The structure in CIF format:
```
data_Pr2YHoBi5
_cell_length_a 5.428
_cell_length_b 5.428
_cell_length_c 11.941
_cell_angle_alpha 90.00
_cell_angle_beta 90.00
_cell_angle_gamma 90.00
_symmetry_space_group_name_H-M 'P 4/m m m'
_symmetry_Int_Tables_number 123
_symmetry_space_group_name_Hall '-P 4 2'
loop_
_atom_site_label
_atom_site_fract_x
_atom_site_fract_y
_atom_site_fract_z
Pr1 0.000 0.000 0.225
Y1 0.500 0.500 0.500
Ho1 0.500 0.500 0.000
Bi1 0.000 0.000 0.500
Bi2 0.000 0.500 0.000
Bi3 0.500 0.500 0.254
```

***

# 5
First-principles (GGA-PBE) data for a geometry-optimized HoBiPt2 structure, as listed in Alexandria.

Results
Uncorrected energy (eV per cell): -23.41
Crystal system: tetragonal
Energy relative to the elements (eV/atom): -0.718

The structure in CIF format:
```
data_HoBiPt2
_cell_length_a 4.754
_cell_length_b 4.754
_cell_length_c 3.737
_cell_angle_alpha 90.00
_cell_angle_beta 90.00
_cell_angle_gamma 90.00
_symmetry_space_group_name_H-M 'P 4/m m m'
_symmetry_Int_Tables_number 123
_symmetry_space_group_name_Hall '-P 4 2'
loop_
_atom_site_label
_atom_site_fract_x
_atom_site_fract_y
_atom_site_fract_z
Ho1 0.000 0.000 0.000
Bi1 0.500 0.500 0.000
Pt1 0.000 0.500 0.500
```

***

# 6
First-principles (GGA-PBE) data for a geometry-optimized Ho4BiPt structure, as listed in Alexandria.

Results
Offset from the most stable computed form (eV/atom): 0.165
Uncorrected energy (eV per cell): -127.15
Crystal system: orthorhombic
Energy relative to the elements (eV/atom): -0.593

The structure in CIF format:
```
data_Ho4BiPt
_cell_length_a 5.501
_cell_length_b 20.249
_cell_length_c 6.356
_cell_angle_alpha 90.00
_cell_angle_beta 90.00
_cell_angle_gamma 90.00
_symmetry_space_group_name_H-M 'C m c m'
_symmetry_Int_Tables_number 63
_symmetry_space_group_name_Hall '-C 2c 2'
loop_
_atom_site_label
_atom_site_fract_x
_atom_site_fract_y
_atom_site_fract_z
Ho1 0.000 0.050 0.250
Ho2 0.000 0.199 0.000
Ho3 0.000 0.394 0.250
Bi1 0.000 0.347 0.750
Pt1 0.000 0.084 0.750
```

***

# 7
First-principles (GGA-PBE) data for a geometry-optimized Ho5Bi2Pt structure, as listed in Alexandria.

Results
Uncorrected energy (eV per cell): -158.44
Crystal system: orthorhombic
Energy relative to the elements (eV/atom): -0.365

The structure in CIF format:
```
data_Ho5Bi2Pt
_cell_length_a 5.514
_cell_length_b 15.802
_cell_length_c 13.656
_cell_angle_alpha 90.00
_cell_angle_beta 90.00
_cell_angle_gamma 90.00
_symmetry_space_group_name_H-M 'C m c m'
_symmetry_Int_Tables_number 63
_symmetry_space_group_name_Hall '-C 2c 2'
loop_
_atom_site_label
_atom_site_fract_x
_atom_site_fract_y
_atom_site_fract_z
Ho1 0.000 0.080 0.116
Ho2 0.000 0.280 0.750
Ho3 0.000 0.296 0.063
Bi1 0.000 0.119 0.604
Pt1 0.000 0.208 0.250
```

***

# 8
First-principles (GGA-PBE) data for a geometry-optimized HoBiPt2 structure, as listed in Alexandria.

Results
Uncorrected energy (eV per cell): -23.56
Crystal system: tetragonal
Energy relative to the elements (eV/atom): -0.754

The structure in CIF format:
```
data_HoBiPt2
_cell_length_a 3.644
_cell_length_b 3.644
_cell_length_c 6.463
_cell_angle_alpha 90.00
_cell_angle_beta 90.00
_cell_angle_gamma 90.00
_symmetry_space_group_name_H-M 'P 4/m m m'
_symmetry_Int_Tables_number 123
_symmetry_space_group_name_Hall '-P 4 2'
loop_
_atom_site_label
_atom_site_fract_x
_atom_site_fract_y
_atom_site_fract_z
Ho1 0.000 0.000 0.000
Bi1 0.000 0.000 0.500
Pt1 0.500 0.500 0.223
```

***

# 9
First-principles (GGA-PBE) data for a geometry-optimized Ho6Bi2Pt structure, as listed in Alexandria.

Results
Uncorrected energy (eV per cell): -93.45
Crystal system: monoclinic
Energy relative to the elements (eV/atom): -0.606

The structure in CIF format:
```
data_Ho6Bi2Pt
_cell_length_a 6.457
_cell_length_b 7.964
_cell_length_c 11.978
_cell_angle_alpha 90.00
_cell_angle_beta 120.73
_cell_angle_gamma 90.00
_symmetry_space_group_name_H-M 'P 1 21/c 1'
_symmetry_Int_Tables_number 14
loop_
_symmetry_equiv_pos_as_xyz
'x,y,z'
'-x,-y,-z'
'-x,y+1/2,-z+1/2'
'x,-y+1/2,z+1/2'
loop_
_atom_site_label
_atom_site_fract_x
_atom_site_fract_y
_atom_site_fract_z
Ho1 0.094 0.195 0.460
Ho2 0.324 0.673 0.458
Ho3 0.381 0.025 0.245
Bi1 0.144 0.115 0.745
Pt1 0.500 0.000 0.500
```

***

# 10
First-principles (GGA-PBE) data for a geometry-optimized Ho4BiPt structure, as listed in Alexandria.

Results
Offset from the most stable computed form (eV/atom): 0.000
Uncorrected energy (eV per cell): -131.11
Crystal system: orthorhombic
Energy relative to the elements (eV/atom): -0.757

The structure in CIF format:
```
data_Ho4BiPt
_cell_length_a 8.313
_cell_length_b 4.031
_cell_length_c 19.524
_cell_angle_alpha 90.00
_cell_angle_beta 90.00
_cell_angle_gamma 90.00
_symmetry_space_group_name_H-M 'P n m a'
_symmetry_Int_Tables_number 62
loop_
_symmetry_equiv_pos_as_xyz
'x,y,z'
'-x,-y,-z'
'-x+1/2,-y,z+1/2'
'x+1/2,y,-z+1/2'
'x+1/2,-y+1/2,-z+1/2'
'-x+1/2,y+1/2,z+1/2'
'-x,y+1/2,-z'
'x,-y+1/2,z'
loop_
_atom_site_label
_atom_site_fract_x
_atom_site_fract_y
_atom_site_fract_z
Ho1 0.025 0.250 0.067
Ho2 0.050 0.750 0.213
Ho3 0.130 0.750 0.651
Ho4 0.145 0.750 0.449
Bi1 0.249 0.250 0.314
Pt1 0.220 0.250 0.553
```

***

# 11
First-principles (GGA-PBE) data for a geometry-optimized Ho8Bi2Pt structure, as listed in Alexandria.

Results
Uncorrected energy (eV per cell): -111.53
Crystal system: monoclinic
Energy relative to the elements (eV/atom): -0.486

The structure in CIF format:
```
data_Ho8Bi2Pt
_cell_length_a 18.879
_cell_length_b 4.722
_cell_length_c 7.255
_cell_angle_alpha 90.00
_cell_angle_beta 95.44
_cell_angle_gamma 90.00
_symmetry_space_group_name_H-M 'C 1 2/m 1'
_symmetry_Int_Tables_number 12
loop_
_symmetry_equiv_pos_as_xyz
'x,y,z'
'-x,-y,-z'
'-x,y,-z'
'x,-y,z'
'x+1/2,y+1/2,z'
'-x+1/2,-y+1/2,-z'
'-x+1/2,y+1/2,-z'
'x+1/2,-y+1/2,z'
loop_
_atom_site_label
_atom_site_fract_x
_atom_site_fract_y
_atom_site_fract_z
Ho1 0.006 0.000 0.232
Ho2 0.095 0.500 0.525
Ho3 0.143 0.500 0.053
Ho4 0.214 0.000 0.355
Bi1 0.181 0.000 0.789
Pt1 0.000 0.500 0.000
```

***

# 12
First-principles (GGA-PBE) data for a geometry-optimized Ho6BiPt structure, as listed in Alexandria.

Results
Uncorrected energy (eV per cell): -39.75
Crystal system: triclinic
Energy relative to the elements (eV/atom): -0.295

The structure in CIF format:
```
data_Ho6BiPt
_cell_length_a 6.862
_cell_length_b 6.870
_cell_length_c 7.652
_cell_angle_alpha 90.11
_cell_angle_beta 116.55
_cell_angle_gamma 119.94
_symmetry_space_group_name_H-M 'P -1'
_symmetry_Int_Tables_number 2
loop_
_symmetry_equiv_pos_as_xyz
'x,y,z'
'-x,-y,-z'
loop_
_atom_site_label
_atom_site_fract_x
_atom_site_fract_y
_atom_site_fract_z
Ho1 0.037 0.076 0.266
Ho2 0.306 0.729 0.266
Ho3 0.309 0.538 0.734
Bi1 0.500 0.000 0.000
Pt1 0.500 0.500 0.500
```

***

# 13
First-principles (GGA-PBE) data for a geometry-optimized HoBiPt4 structure, as listed in Alexandria.

Results
Uncorrected energy (eV per cell): -146.59
Crystal system: cubic
Energy relative to the elements (eV/atom): -0.671

The structure in CIF format:
```
data_HoBiPt4
_cell_length_a 7.714
_cell_length_b 7.714
_cell_length_c 7.714
_cell_angle_alpha 90.00
_cell_angle_beta 90.00
_cell_angle_gamma 90.00
_symmetry_space_group_name_H-M 'F -4 3 m'
_symmetry_Int_Tables_number 216
_symmetry_space_group_name_Hall 'F -4 2 3'
loop_
_atom_site_label
_atom_site_fract_x
_atom_site_fract_y
_atom_site_fract_z
Ho1 0.000 0.000 0.000
Bi1 0.250 0.250 0.250
Pt1 0.125 0.125 0.625
```

***

# 14
First-principles (GGA-PBE) data for a geometry-optimized Ho12BiPt6 structure, as listed in Alexandria.

Results
Uncorrected energy (eV per cell): -224.17
Crystal system: cubic
Energy relative to the elements (eV/atom): -0.896

The structure in CIF format:
```
data_Ho12BiPt6
_cell_length_a 9.995
_cell_length_b 9.995
_cell_length_c 9.995
_cell_angle_alpha 90.00
_cell_angle_beta 90.00
_cell_angle_gamma 90.00
_symmetry_space_group_name_H-M 'I m -3'
_symmetry_Int_Tables_number 204
_symmetry_space_group_name_Hall '-I 2 2 3'
loop_
_atom_site_label
_atom_site_fract_x
_atom_site_fract_y
_atom_site_fract_z
Ho1 0.000 0.181 0.303
Bi1 0.000 0.000 0.000
Pt1 0.000 0.362 0.500
```

***

# 15
First-principles (GGA-PBE) data for a geometry-optimized Ho5Bi5Pt structure, as listed in Alexandria.

Results
Uncorrected energy (eV per cell): -109.60
Crystal system: monoclinic
Energy relative to the elements (eV/atom): -0.588

The structure in CIF format:
```
data_Ho5Bi5Pt
_cell_length_a 13.739
_cell_length_b 6.126
_cell_length_c 8.833
_cell_angle_alpha 90.00
_cell_angle_beta 110.86
_cell_angle_gamma 90.00
_symmetry_space_group_name_H-M 'C 1 2/m 1'
_symmetry_Int_Tables_number 12
loop_
_symmetry_equiv_pos_as_xyz
'x,y,z'
'-x,-y,-z'
'-x,y,-z'
'x,-y,z'
'x+1/2,y+1/2,z'
'-x+1/2,-y+1/2,-z'
'-x+1/2,y+1/2,-z'
'x+1/2,-y+1/2,z'
loop_
_atom_site_label
_atom_site_fract_x
_atom_site_fract_y
_atom_site_fract_z
Ho1 0.000 0.000 0.000
Ho2 0.160 0.500 0.310
Ho3 0.166 0.500 0.855
Bi1 0.000 0.500 0.500
Bi2 0.143 0.000 0.790
Bi3 0.172 0.000 0.340
Pt1 0.000 0.500 0.000
```

***

# 16
First-principles (GGA-PBE) data for a geometry-optimized Ho4Bi2Pt structure, as listed in Alexandria.

Results
Uncorrected energy (eV per cell): -74.62
Crystal system: monoclinic
Energy relative to the elements (eV/atom): -0.743

The structure in CIF format:
```
data_Ho4Bi2Pt
_cell_length_a 6.950
_cell_length_b 6.645
_cell_length_c 8.742
_cell_angle_alpha 90.00
_cell_angle_beta 102.52
_cell_angle_gamma 90.00
_symmetry_space_group_name_H-M 'P 1 21/m 1'
_symmetry_Int_Tables_number 11
loop_
_symmetry_equiv_pos_as_xyz
'x,y,z'
'-x,-y,-z'
'-x,y+1/2,-z'
'x,-y+1/2,z'
loop_
_atom_site_label
_atom_site_fract_x
_atom_site_fract_y
_atom_site_fract_z
Ho1 0.158 0.011 0.294
Ho2 0.301 0.250 0.932
Ho3 0.322 0.750 0.664
Bi1 0.178 0.750 0.977
Bi2 0.446 0.250 0.614
Pt1 0.039 0.250 0.555
```

***

# 17
First-principles (GGA-PBE) data for a geometry-optimized Ho5BiPt2 structure, as listed in Alexandria.

Results
Uncorrected energy (eV per cell): -185.33
Crystal system: tetragonal
Energy relative to the elements (eV/atom): -0.935

The structure in CIF format:
```
data_Ho5BiPt2
_cell_length_a 7.785
_cell_length_b 7.785
_cell_length_c 13.732
_cell_angle_alpha 90.00
_cell_angle_beta 90.00
_cell_angle_gamma 90.00
_symmetry_space_group_name_H-M 'I 4/m c m'
_symmetry_Int_Tables_number 140
_symmetry_space_group_name_Hall '-I 4 2c'
loop_
_atom_site_label
_atom_site_fract_x
_atom_site_fract_y
_atom_site_fract_z
Ho1 0.000 0.000 0.000
Ho2 0.156 0.344 0.136
Bi1 0.000 0.000 0.250
Pt1 0.139 0.361 0.500
```

***

# 18
First-principles (GGA-PBE) data for a geometry-optimized HoBiPtRh structure, as listed in Alexandria.

Results
Uncorrected energy (eV per cell): -97.50
Crystal system: cubic
Energy relative to the elements (eV/atom): -0.631

The structure in CIF format:
```
data_HoBiPtRh
_cell_length_a 6.880
_cell_length_b 6.880
_cell_length_c 6.880
_cell_angle_alpha 90.00
_cell_angle_beta 90.00
_cell_angle_gamma 90.00
_symmetry_space_group_name_H-M 'F -4 3 m'
_symmetry_Int_Tables_number 216
_symmetry_space_group_name_Hall 'F -4 2 3'
loop_
_atom_site_label
_atom_site_fract_x
_atom_site_fract_y
_atom_site_fract_z
Ho1 0.000 0.000 0.000
Bi1 0.000 0.000 0.500
Pt1 0.250 0.250 0.250
Rh1 0.250 0.250 0.750
```

***

# 19
First-principles (GGA-PBE) data for a geometry-optimized Ho6BiPt2Se3 structure, as listed in Alexandria.

Results
Uncorrected energy (eV per cell): -141.04
Uncorrected formation energy (eV per formula unit): -16.64
Crystal system: monoclinic

The structure in CIF format:
```
data_Ho6BiPt2Se3
_cell_length_a 18.390
_cell_length_b 4.084
_cell_length_c 8.500
_cell_angle_alpha 90.00
_cell_angle_beta 106.27
_cell_angle_gamma 90.00
_symmetry_space_group_name_H-M 'C 1 2/m 1'
_symmetry_Int_Tables_number 12
loop_
_symmetry_equiv_pos_as_xyz
'x,y,z'
'-x,-y,-z'
'-x,y,-z'
'x,-y,z'
'x+1/2,y+1/2,z'
'-x+1/2,-y+1/2,-z'
'-x+1/2,y+1/2,-z'
'x+1/2,-y+1/2,z'
loop_
_atom_site_label
_atom_site_fract_x
_atom_site_fract_y
_atom_site_fract_z
Ho1 0.009 0.000 0.269
Ho2 0.170 0.500 0.578
Ho3 0.176 0.500 0.117
Bi1 0.000 0.500 0.000
Pt1 0.170 0.000 0.346
Se1 0.000 0.500 0.500
Se2 0.161 0.000 0.843
```

***

# 20
First-principles (GGA-PBE) data for a geometry-optimized HoSi2Bi2Pt7 structure, as listed in Alexandria.

Results
Uncorrected energy (eV per cell): -146.89
Uncorrected formation energy (eV per formula unit): -7.97
Crystal system: tetragonal

The structure in CIF format:
```
data_HoSi2Bi2Pt7
_cell_length_a 4.012
_cell_length_b 4.012
_cell_length_c 30.130
_cell_angle_alpha 90.00
_cell_angle_beta 90.00
_cell_angle_gamma 90.00
_symmetry_space_group_name_H-M 'I 4/m m m'
_symmetry_Int_Tables_number 139
_symmetry_space_group_name_Hall '-I 4 2'
loop_
_atom_site_label
_atom_site_fract_x
_atom_site_fract_y
_atom_site_fract_z
Ho1 0.000 0.000 0.000
Si1 0.000 0.000 0.383
Bi1 0.000 0.000 0.209
Pt1 0.000 0.000 0.306
Pt2 0.000 0.000 0.500
Pt3 0.000 0.500 0.073
```